A plane-wave DFT calculation with GGA-PBE was carried out for crystalline Tc2BiMoSe at its relaxed geometry.

Summary:
total moment = 3.2 μB per formula unit
total energy = -0.23277 hartree per atom
E_form (uncorrected) = 1.45 eV/atom

Cell lengths 4.748, 4.748, 5.416 Å; angles 90.00, 90.00, 90.00 degrees
Fractional coordinates of all 5 atoms:
Tc (0.000, 0.500, 0.000)
Tc (0.500, 0.000, 0.000)
Bi (0.000, 0.000, 0.500)
Mo (0.000, 0.000, 0.000)
Se (0.500, 0.500, 0.500)